Material: La3TaH
Method: DFT, PBE
State: optimized geometry

* E above lowest polymorph: 0 meV per atom

```
data_La3TaH
_space_group_name_H-M_alt 'P 1'
_space_group_IT_number 1
_cell_length_a 4.988
_cell_length_b 4.988
_cell_length_c 4.988
_cell_angle_alpha 90.00
_cell_angle_beta 90.00
_cell_angle_gamma 90.00
loop_
_space_group_symop_operation_xyz
'x,y,z'
loop_
_atom_site_label
_atom_site_type_symbol
_atom_site_fract_x
_atom_site_fract_y
_atom_site_fract_z
La1 La 0.000 0.000 0.500
La2 La 0.000 0.500 0.000
La3 La 0.500 0.000 0.000
Ta1 Ta 0.500 0.500 0.500
H1 H 0.000 0.000 0.000
```


Material: ScCuP2
Method: DFT, PBE
State: optimized geometry

* E_form: -411.2 meV per atom

```
data_ScCuP2
_space_group_name_H-M_alt 'P 1'
_space_group_IT_number 1
_cell_length_a 3.763
_cell_length_b 3.763
_cell_length_c 16.199
_cell_angle_alpha 90.00
_cell_angle_beta 90.00
_cell_angle_gamma 120.00
loop_
_space_group_symop_operation_xyz
'x,y,z'
loop_
_atom_site_label
_atom_site_type_symbol
_atom_site_fract_x
_atom_site_fract_y
_atom_site_fract_z
Sc1 Sc 0.000 0.000 0.000
Sc2 Sc 0.333 0.667 0.667
Sc3 Sc 0.667 0.333 0.333
Cu1 Cu 0.000 0.000 0.500
Cu2 Cu 0.333 0.667 0.167
Cu3 Cu 0.667 0.333 0.833
P1 P 0.000 0.000 0.241
P2 P 0.000 0.000 0.759
P3 P 0.333 0.667 0.425
P4 P 0.333 0.667 0.908
P5 P 0.667 0.333 0.092
P6 P 0.667 0.333 0.575
```


Listing N(E_F) for the structures above in their given order: 1.518 0.945 states/eV/atom.